# LuHfHg2 PBE relaxed
# ΔE to the lowest computed polymorph: 26 meV/atom
# Total magnetization: 3.7 μB per cell
# Formation energy from the elements: -0.1671 eV/atom
# Mass density: 13832 kg/m³
# Energy: -3.9366 eV/atom
# Volume: 22.6 A^3/atom
# DOS(E_F): 0.702 states/eV per atom
data_LuHfHg2
_symmetry_space_group_name_H-M 'F m -3 m'
_symmetry_Int_Tables_number 225
_symmetry_space_group_name_Hall '-F 4 2 3'
_cell_length_a 7.1295
_cell_length_b 7.1295
_cell_length_c 7.1295
_cell_angle_alpha 90.00
_cell_angle_beta 90.00
_cell_angle_gamma 90.00
loop_
_atom_site_label
_atom_site_type_symbol
_atom_site_fract_x
_atom_site_fract_y
_atom_site_fract_z
Lu1 Lu 0.0000 0.0000 0.0000
Hf1 Hf 0.0000 0.0000 0.5000
Hg1 Hg 0.2500 0.2500 0.2500